A relaxed structure of Ce2ScPa. Source: Alexandria via LeMat-Bulk, functional PBE.

Output
The formation energy is 0.1677 eV per atom. Its space-group type is R-3m. Its calculated volume is 101.1 Å³/cell.

Lattice parameters (Å, degrees): 3.1467 3.1467 11.9305 82.42 82.42 60.00
With the nearest neighbours (Å) after each atom.
Fractional coordinates of all 4 atoms:
Ce  0.0842  0.0842  0.7473  1 Pa 2.98, 6 Ce 3.15
Pa  0.0000  0.0000  0.0000  2 Ce 2.98, 6 Pa 3.15
Sc  0.5000  0.5000  0.5000  6 Sc 3.15, 6 Ce 3.44
Ce  0.9158  0.9158  0.2527  1 Pa 2.98, 6 Ce 3.15